# 1
# InCuReTc

A geometry-optimized InCuReTc structure (PBE, the Open Quantum Materials Database).

Results
Total magnetization in μB/f.u.: 0.00
Space group: No. 216
Relative energy among the computed polymorphs in meV/atom: 0
Electronic total energy in eV/f.u.: -27.80

abc: 4.429 4.429 4.429
angles: 60.00 60.00 60.00
Fractional positions:
1 In 0.000 0.000 0.000
2 Cu 0.250 0.250 0.250
3 Re 0.500 0.500 0.500
4 Tc 0.750 0.750 0.750


# 2
# Y2Si3Mo4N3

A geometry-optimized Y2Si3Mo4N3 structure (PBE, the Open Quantum Materials Database).

Results
Total magnetization in μB/f.u.: 0.00
Space group: No. 15
Electronic total energy in eV/f.u.: -104.66

abc: 5.462 5.462 13.344
angles: 102.26 102.26 60.32
Fractional positions:
1 Y 0.040 0.874 0.618
2 Y 0.126 0.960 0.882
3 Y 0.874 0.040 0.118
4 Y 0.960 0.126 0.382
5 Si 0.084 0.402 0.750
6 Si 0.402 0.084 0.250
7 Si 0.422 0.578 0.250
8 Si 0.578 0.422 0.750
9 Si 0.598 0.916 0.750
10 Si 0.916 0.598 0.250
11 Mo 0.198 0.371 0.081
12 Mo 0.315 0.458 0.418
13 Mo 0.371 0.198 0.581
14 Mo 0.458 0.315 0.918
15 Mo 0.542 0.685 0.082
16 Mo 0.629 0.802 0.419
17 Mo 0.685 0.542 0.582
18 Mo 0.802 0.629 0.919
19 N 0.000 0.500 0.500
20 N 0.159 0.683 0.000
21 N 0.317 0.841 0.500
22 N 0.500 0.000 0.000
23 N 0.683 0.159 0.500
24 N 0.841 0.317 0.000


# 3
# ScTa2O4

A geometry-optimized ScTa2O4 structure (PBE, the Open Quantum Materials Database).

Results
Total magnetization in μB/f.u.: 0.50
Space group: No. 227
Electronic total energy in eV/f.u.: -65.15

abc: 6.234 6.234 6.234
angles: 60.00 60.00 60.00
Fractional positions:
1 Sc 0.125 0.125 0.125
2 Sc 0.875 0.875 0.875
3 Ta 0.000 0.500 0.500
4 Ta 0.500 0.000 0.500
5 Ta 0.500 0.500 0.000
6 Ta 0.500 0.500 0.500
7 O 0.253 0.253 0.253
8 O 0.253 0.253 0.742
9 O 0.253 0.742 0.253
10 O 0.258 0.747 0.747
11 O 0.742 0.253 0.253
12 O 0.747 0.258 0.747
13 O 0.747 0.747 0.258
14 O 0.747 0.747 0.747


# 4
# Nd3Ge3Pt2

A geometry-optimized Nd3Ge3Pt2 structure (PBE, the Open Quantum Materials Database).

Results
Total magnetization in μB/f.u.: 0.00
Space group: No. 63
Electronic total energy in eV/f.u.: -48.39

abc: 5.841 5.841 14.887
angles: 90.00 90.00 135.39
Fractional positions:
1 Nd 0.096 0.904 0.609
2 Nd 0.096 0.904 0.891
3 Nd 0.374 0.626 0.750
4 Nd 0.626 0.374 0.250
5 Nd 0.904 0.096 0.109
6 Nd 0.904 0.096 0.391
7 Ge 0.331 0.669 0.250
8 Ge 0.382 0.618 0.535
9 Ge 0.382 0.618 0.965
10 Ge 0.618 0.382 0.035
11 Ge 0.618 0.382 0.465
12 Ge 0.669 0.331 0.750
13 Pt 0.190 0.810 0.105
14 Pt 0.190 0.810 0.395
15 Pt 0.810 0.190 0.605
16 Pt 0.810 0.190 0.895


# 5
# CuRe2Bi

A geometry-optimized CuRe2Bi structure (PBE, the Open Quantum Materials Database).

Results
Total magnetization in μB/f.u.: 0.01
Space group: No. 216
Electronic total energy in eV/f.u.: -29.02

abc: 4.568 4.568 4.568
angles: 60.00 60.00 60.00
Fractional positions:
1 Cu 0.000 0.000 0.000
2 Re 0.250 0.250 0.250
3 Re 0.500 0.500 0.500
4 Bi 0.750 0.750 0.750


# 6
# NbTePd

A geometry-optimized NbTePd structure (PBE, the Open Quantum Materials Database).

Results
Total magnetization in μB/f.u.: 0.01
Space group: No. 216
Relative energy among the computed polymorphs in meV/atom: 94
Electronic total energy in eV/f.u.: -18.16

abc: 4.484 4.484 4.484
angles: 60.00 60.00 60.00
Fractional positions:
1 Nb 0.000 0.000 0.000
2 Te 0.250 0.250 0.250
3 Pd 0.500 0.500 0.500